Entry from Alexandria: crystalline KNb2MoO8 at its relaxed geometry (GGA+U).

a b c (Å): 5.4730 5.4067 7.2230
angles (deg): 79.06 78.65 70.24
Last column: magnetic moment on the atom in μB.
Positions (direct):
O: 0.7724 0.7664 0.0964  0.01
O: 0.6099 0.6746 0.4974  0.00
O: 0.7958 0.2332 0.1838  -0.03
O: 0.7601 0.2266 0.8050  0.01
O: 0.2042 0.7668 0.8162  -0.03
O: 0.2399 0.7734 0.1950  0.01
O: 0.2276 0.2336 0.9036  0.01
O: 0.3901 0.3254 0.5026  0.00
Mo: 0.0000 0.0000 0.0000  0.93
Nb: 0.5724 0.5812 0.2708  0.04
Nb: 0.4276 0.4188 0.7292  0.04
K: 0.0000 0.0000 0.5000  0.00

Summary:
Symmetry   P-1

Entry from Alexandria: crystalline KNbMoO6 at its relaxed geometry (GGA+U).

a b c (Å): 5.3577 5.3577 5.9497
angles (deg): 90.00 90.00 60.00
Positions (direct):
O: 0.3869 0.0150 0.6881
O: 0.6028 0.0045 0.3112
O: 0.0150 0.5981 0.6881
O: 0.0045 0.3927 0.3112
O: 0.3927 0.6028 0.3112
O: 0.5980 0.3869 0.6881
Mo: 0.3333 0.3333 0.4573
K: 0.0000 0.0000 0.9955
Nb: 0.6666 0.6667 0.5492

Summary:
Symmetry   P3

Number 1: VASP energy -0.28793 hartree per atom, total moment 1.0 μB per formula unit. Number 2: VASP energy -0.27199 hartree per atom, total moment 0.0 μB per formula unit.